Record 1
An optimized crystal structure of Th3PC2, computed with PBE-GGA.

abc: 6.7665 6.7665 10.0133
angles: 90.00 90.00 145.29
Closest atoms and distances in Å follow each position.
Sites, in units of the cell vectors:
Th (0.0747, 0.9253, 0.7500)  2 C 2.37
Th (0.3745, 0.6255, 0.5660)  1 C 2.28
Th (0.3745, 0.6255, 0.9340)  1 C 2.28
Th (0.6255, 0.3745, 0.0660)  1 C 2.28
Th (0.6255, 0.3745, 0.4340)  1 C 2.28
Th (0.9253, 0.0747, 0.2500)  2 C 2.37
P (0.2466, 0.7534, 0.2500)  6 Th 3.07-3.15
P (0.7534, 0.2466, 0.7500)  6 Th 3.07-3.15
C (0.0000, 0.0000, 0.0000)  6 Th 2.67-2.68
C (0.0000, 0.0000, 0.5000)  6 Th 2.67-2.68
C (0.4783, 0.5217, 0.7500)  4 Th 2.28-2.37
C (0.5217, 0.4783, 0.2500)  4 Th 2.28-2.37

Properties
- Density of states at the Fermi level: 3.28 states/eV/f.u.
- Symmetry: Cmcm, No. 63
- Electronic total energy: -8.22 eV per atom

Record 2
An optimized crystal structure of Th5PC4, computed with PBE-GGA.

abc: 6.6915 6.6915 9.5802
angles: 118.13 118.13 33.48
Closest atoms and distances in Å follow each position.
Sites, in units of the cell vectors:
Th (0.0000, 0.0000, 0.0000)  6 C 2.66-2.74
Th (0.2060, 0.2060, 0.8146)  5 C 2.62-2.77, 1 P 2.87
Th (0.3925, 0.3925, 0.6166)  3 C 2.58-2.73
Th (0.6075, 0.6075, 0.3834)  3 C 2.58-2.73
Th (0.7940, 0.7940, 0.1854)  5 C 2.62-2.77, 1 P 2.87
P (0.0000, 0.0000, 0.5000)  6 Th 2.87-2.89
C (0.1929, 0.1929, 0.2902)  5 Th 2.58-2.77
C (0.3983, 0.3983, 0.0983)  6 Th 2.62-2.74
C (0.6017, 0.6017, 0.9017)  6 Th 2.62-2.74
C (0.8071, 0.8071, 0.7098)  5 Th 2.58-2.77

Properties
- Density of states at the Fermi level: 3.74 states/eV/f.u.
- Symmetry: C2/m, No. 12
- Electronic total energy: -8.44 eV per atom

Record 3
An optimized crystal structure of Th5P4C, computed with PBE-GGA.

abc: 14.6605 14.6605 14.6605
angles: 163.94 163.94 22.79
Closest atoms and distances in Å follow each position.
Sites, in units of the cell vectors:
Th (0.0000, 0.0000, 0.0000)  2 P 2.85, 4 C 2.90
Th (0.1997, 0.1997, 0.0000)  6 P 2.89-2.96
Th (0.4088, 0.4088, 0.0000)  1 C 2.62, 4 P 2.91
Th (0.5912, 0.5912, 0.0000)  1 C 2.62, 4 P 2.91
Th (0.8003, 0.8003, 0.0000)  6 P 2.89-2.96
P (0.0991, 0.0991, 0.0000)  6 Th 2.85-2.91
P (0.3026, 0.3026, 0.0000)  6 Th 2.90-3.05
P (0.6974, 0.6974, 0.0000)  6 Th 2.90-3.05
P (0.9009, 0.9009, 0.0000)  6 Th 2.85-2.91
C (0.5000, 0.5000, 0.0000)  6 Th 2.62-2.90

Properties
- Density of states at the Fermi level: 4.47 states/eV/f.u.
- Symmetry: I4/mmm, No. 139
- Electronic total energy: -8.04 eV per atom

Q: Which of these has the highest electronic total energy?
A: Th5P4C